The following is a GGA+U calculation of a geometry-optimized FeAsP2O structure, from the Alexandria database.

Geometry as extended XYZ:
```
5
Lattice="4.7173 0.0000 0.0000 0.0000 4.7173 0.0000 0.0000 0.0000 3.5476" Properties=species:S:1:pos:R:3 pbc="T T T"
Fe 0.0000 0.0000 0.0000
As 2.3587 2.3587 1.7738
P 0.0000 2.3587 0.0000
P 2.3587 0.0000 0.0000
O 0.0000 0.0000 1.7738
```

Summary:
The total DFT energy (no corrections) is -4.8631 eV/atom. For the density of states at the Fermi level, the calculation gives 0.3737 states/eV/atom. Its symmetry is P4/mmm.

---

The following is a GGA+U calculation of a geometry-optimized FeAsP2O structure, from the Alexandria database.

Geometry as extended XYZ:
```
5
Lattice="4.8333 0.0000 0.0000 0.0000 4.8333 0.0000 0.0000 0.0000 3.6021" Properties=species:S:1:pos:R:3 pbc="T T T"
Fe 0.0000 0.0000 0.0000
As 2.4166 2.4166 1.8010
P 0.0000 2.4166 1.8010
P 2.4166 0.0000 1.8010
O 2.4166 2.4166 0.0000
```

Summary:
The total DFT energy (no corrections) is -4.6251 eV/atom. For the density of states at the Fermi level, the calculation gives 0.6264 states/eV/atom. Its symmetry is P4/mmm.

---

The following is a GGA+U calculation of a geometry-optimized PaFeAsO5 structure, from the Alexandria database.

Geometry as extended XYZ:
```
16
Lattice="3.6246 -5.1556 0.0000 3.6246 5.1556 0.0000 -2.3073 0.0000 7.0688" Properties=species:S:1:pos:R:3 pbc="T T T"
Pa 1.8123 2.5778 0.0000
Pa 0.6587 -2.5778 3.5344
Fe 1.8941 5.0901 5.3016
Fe 3.0478 -5.0901 1.7672
As 1.8941 0.1627 5.3016
As 3.0478 -0.1627 1.7672
O 1.0280 0.7227 0.8272
O 3.0478 3.1302 1.7672
O -0.1257 -0.7227 4.3615
O 1.1931 1.3660 6.4011
O 2.5951 1.3660 4.2020
O 2.3468 -1.3660 2.8667
O 3.7488 -1.3660 0.6677
O 5.0676 0.7227 2.7072
O 1.8941 -3.1302 5.3016
O 3.9140 -0.7227 6.2416
```

Summary:
The total DFT energy (no corrections) is -7.7219 eV/atom. For the density of states at the Fermi level, the calculation gives 0.0000 states/eV/atom. Its symmetry is C2/c.

---

The following is a GGA+U calculation of a geometry-optimized FeAs2PbO8 structure, from the Alexandria database.

Geometry as extended XYZ:
```
12
Lattice="2.4741 1.4284 7.8400 -2.4741 1.4284 7.8400 0.0000 -2.8568 7.8400" Properties=species:S:1:pos:R:3 pbc="T T T"
Fe 0.0000 0.0000 0.0000
As 0.0000 0.0000 6.0377
As 0.0000 0.0000 17.4824
Pb 0.0000 0.0000 11.7600
O -0.8261 -1.5153 9.1403
O 0.0000 0.0000 4.3248
O -0.8992 -1.4731 14.3798
O -0.8992 1.4731 9.1403
O -0.8261 1.5153 14.3798
O 1.7253 0.0422 9.1403
O 0.0000 0.0000 19.1953
O 1.7253 -0.0422 14.3798
```

Summary:
The total DFT energy (no corrections) is -5.9242 eV/atom. For the density of states at the Fermi level, the calculation gives 0.5392 states/eV/atom. Its symmetry is R32.

---

The following is a GGA+U calculation of a geometry-optimized FeAs2PbO6 structure, from the Alexandria database.

Geometry as extended XYZ:
```
20
Lattice="5.5483 -4.5687 0.0000 5.5483 4.5687 0.0000 -3.3797 0.0000 6.2146" Properties=species:S:1:pos:R:3 pbc="T T T"
Fe 3.0135 2.4807 4.6610
Fe 4.7034 -2.4807 1.5537
As 0.0196 0.5021 4.0573
As 1.7095 -0.5021 0.9500
As 6.0074 0.5021 5.2646
As 7.6973 -0.5021 2.1573
Pb 4.7034 1.1741 1.5537
Pb 3.0135 -1.1741 4.6610
O 3.0397 2.6047 2.5326
O 0.6428 0.4225 2.0949
O -1.0471 -0.4225 5.2022
O 1.4103 1.0149 5.0373
O 6.3671 2.6047 0.5747
O 3.1002 -1.0149 1.9300
O 4.6168 1.0149 4.2846
O 1.3498 -2.6047 5.6399
O 6.3066 -1.0149 1.1773
O 8.7640 0.4225 1.0124
O 7.0741 -0.4225 4.1197
O 4.6772 -2.6047 3.6820
```

Summary:
The total DFT energy (no corrections) is -5.9909 eV/atom. For the density of states at the Fermi level, the calculation gives 0.1367 states/eV/atom. Its symmetry is C2/c.

---

The following is a GGA+U calculation of a geometry-optimized FeAs2Pb2O9 structure, from the Alexandria database.

Geometry as extended XYZ:
```
28
Lattice="8.3016 0.0000 0.0000 0.0000 5.9487 0.0000 -3.6410 0.0000 8.3071" Properties=species:S:1:pos:R:3 pbc="T T T"
Fe 0.0000 0.0000 0.0000
Fe 0.0000 2.9744 0.0000
As 7.1102 1.4872 2.7138
As -2.4495 4.4616 5.5933
As 2.8251 1.4872 1.5112
As 1.8356 4.4616 6.7959
Pb 0.9113 4.4616 3.1602
Pb -0.1023 1.4872 6.2492
Pb 4.7630 4.4616 2.0579
Pb 3.7494 1.4872 5.1469
O -2.5957 3.0062 6.5622
O -2.5957 5.9169 6.5622
O -0.9135 4.4616 4.8908
O 0.9451 4.4616 0.6876
O 1.2366 1.4872 0.7427
O 0.1490 1.4872 3.7858
O 2.9055 0.0751 2.5095
O 2.9055 2.8993 2.5095
O 0.6120 4.4616 7.9671
O 4.0487 1.4872 0.3400
O 1.7552 3.0495 5.7976
O 1.7552 5.8737 5.7976
O 4.5116 4.4616 4.5213
O 3.4241 4.4616 7.5644
O 3.7156 1.4872 7.6195
O 5.5742 1.4872 3.4163
O 7.2564 0.0319 1.7449
O 7.2564 2.9425 1.7449
```

Summary:
The total DFT energy (no corrections) is -6.0102 eV/atom. For the density of states at the Fermi level, the calculation gives 0.4238 states/eV/atom. Its symmetry is P2_1/m.

---

The following is a GGA+U calculation of a geometry-optimized ZnFeAs4Pb4O18 structure, from the Alexandria database.

Geometry as extended XYZ:
```
28
Lattice="6.0780 0.0000 0.0000 0.1810 8.4761 0.0000 0.5309 3.3011 7.9706" Properties=species:S:1:pos:R:3 pbc="T T T"
Zn 0.0000 0.0000 0.0000
Fe 3.0390 0.0000 0.0000
As 1.9654 10.2148 5.4294
As 2.4077 5.9461 6.1876
As 4.3821 5.8312 1.7830
As 4.8245 1.5624 2.5412
Pb 1.3110 7.4310 3.0894
Pb 1.9836 3.3890 1.7234
Pb 4.8063 8.3883 6.2472
Pb 5.4789 4.3463 4.8812
O 0.6512 10.0343 6.5036
O 1.0185 6.1087 5.1040
O 1.3499 3.0557 4.3722
O 1.6860 7.7206 0.9699
O 2.1828 4.4548 7.0331
O 2.4297 7.2491 7.2780
O 2.4460 8.8263 4.4972
O 2.9093 5.7622 2.6775
O 3.4316 10.4437 6.3611
O 3.3582 1.3335 1.6095
O 3.8806 6.0150 5.2931
O 4.3439 2.9510 3.4734
O 4.3602 4.5282 0.6926
O 4.6071 7.3225 0.9375
O 5.1039 4.0566 7.0007
O 5.4400 8.7216 3.5984
O 5.7714 5.6685 2.8666
O 6.1387 1.7430 1.4670
```

Summary:
The total DFT energy (no corrections) is -5.8260 eV/atom. For the density of states at the Fermi level, the calculation gives 0.1314 states/eV/atom. Its symmetry is P-1.

---

The following is a GGA+U calculation of a geometry-optimized FeAs2PdO6 structure, from the Alexandria database.

Geometry as extended XYZ:
```
20
Lattice="4.9310 -4.0334 0.0000 4.9310 4.0334 0.0000 -2.4543 0.0000 5.9943" Properties=species:S:1:pos:R:3 pbc="T T T"
Fe 3.0902 3.1007 4.4957
Fe 4.3174 -3.1007 1.4986
As 1.2117 0.2458 4.5303
As 2.4389 -0.2458 1.5332
As 4.9688 0.2458 4.4612
As 6.1959 -0.2458 1.4640
Pd 4.3174 1.5553 1.4986
Pd 3.0902 -1.5553 4.4957
O -0.4332 0.5362 3.9720
O 0.7940 -0.5362 0.9748
O 1.7008 1.6826 5.4276
O 1.9137 0.8336 2.9184
O 4.4797 1.6826 3.5639
O 0.6866 -0.8336 5.9155
O 6.7211 0.8336 0.0788
O 2.9280 -1.6826 2.4304
O 5.4939 -0.8336 3.0760
O 5.7069 -1.6826 0.5667
O 6.6137 0.5362 5.0195
O 7.8409 -0.5362 2.0223
```

Summary:
The total DFT energy (no corrections) is -5.9323 eV/atom. For the density of states at the Fermi level, the calculation gives 0.1583 states/eV/atom. Its symmetry is C2/c.

---

The following is a GGA+U calculation of a geometry-optimized PmFeAs2O8 structure, from the Alexandria database.

Geometry as extended XYZ:
```
12
Lattice="-3.5503 3.5503 3.1172 3.5503 -3.5503 3.1172 3.5503 3.5503 -3.1172" Properties=species:S:1:pos:R:3 pbc="T T T"
Pm 0.0000 0.0000 0.0000
Fe 0.0000 3.5503 1.5586
As 3.5503 0.0000 1.5586
As 0.0000 0.0000 3.1172
O 2.3146 0.0000 0.3663
O 4.7860 0.0000 0.3663
O 3.5503 2.2071 -1.0907
O 3.5503 -1.2357 2.7509
O 0.0000 1.3432 2.0265
O 3.5503 1.2357 2.7509
O 2.2071 3.5503 1.0907
O 1.3432 0.0000 4.2080
```

Summary:
The total DFT energy (no corrections) is -6.6563 eV/atom. For the density of states at the Fermi level, the calculation gives 0.0000 states/eV/atom. Its symmetry is I-4m2.

---

The following is a GGA+U calculation of a geometry-optimized Pr2FeAs2O structure, from the Alexandria database.

Geometry as extended XYZ:
```
6
Lattice="3.3257 0.0000 0.0000 0.0000 3.3257 0.0000 0.0000 0.0000 15.3338" Properties=species:S:1:pos:R:3 pbc="T T T"
Pr 0.0000 0.0000 2.1256
Pr 0.0000 0.0000 13.2082
Fe 0.0000 0.0000 7.6669
As 0.0000 0.0000 5.2034
As 0.0000 0.0000 10.1304
O 0.0000 0.0000 0.0000
```

Summary:
The total DFT energy (no corrections) is -5.0292 eV/atom. For the density of states at the Fermi level, the calculation gives 0.9273 states/eV/atom. Its symmetry is P4/mmm.

---

The following is a GGA+U calculation of a geometry-optimized PrFeAsO structure, from the Alexandria database.

Geometry as extended XYZ:
```
8
Lattice="4.0903 0.0000 0.0000 0.0000 4.0903 0.0000 0.0000 0.0000 9.3047" Properties=species:S:1:pos:R:3 pbc="T T T"
Pr 1.0226 1.0226 1.1942
Pr 3.0677 3.0677 8.1105
Fe 1.0226 3.0677 4.6523
Fe 3.0677 1.0226 4.6523
As 1.0226 1.0226 6.2922
As 3.0677 3.0677 3.0125
O 1.0226 3.0677 0.0000
O 3.0677 1.0226 0.0000
```

Summary:
The total DFT energy (no corrections) is -6.5956 eV/atom. For the density of states at the Fermi level, the calculation gives 0.1128 states/eV/atom. Its symmetry is P4/nmm.

---

The following is a GGA+U calculation of a geometry-optimized RbFeAsO4 structure, from the Alexandria database.

Geometry as extended XYZ:
```
14
Lattice="5.6436 0.0000 0.0000 0.0000 6.0482 0.0000 -2.0400 0.0000 7.3016" Properties=species:S:1:pos:R:3 pbc="T T T"
Rb 0.3442 1.5120 3.2559
Rb 3.2594 4.5361 4.0457
Fe 0.0217 1.5120 7.2614
Fe 3.5819 4.5361 0.0402
As 0.9737 4.5361 1.2635
As 2.6299 1.5120 6.0381
O 0.0433 1.5120 0.1136
O 0.1769 4.5361 2.7568
O 2.1699 3.2467 1.1676
O 2.1699 5.8256 1.1676
O 1.4337 0.2226 6.1340
O 1.4337 2.8015 6.1340
O 3.4268 1.5120 4.5448
O 3.5603 4.5361 7.1880
```

Summary:
The total DFT energy (no corrections) is -5.9346 eV/atom. For the density of states at the Fermi level, the calculation gives 0.0000 states/eV/atom. Its symmetry is P2_1/m.

---

The following is a GGA+U calculation of a geometry-optimized FeAs2RuO structure, from the Alexandria database.

Geometry as extended XYZ:
```
5
Lattice="4.5980 0.0000 0.0000 0.0000 4.5980 0.0000 0.0000 0.0000 5.0308" Properties=species:S:1:pos:R:3 pbc="T T T"
Fe 0.0000 0.0000 0.0000
As 0.0000 2.2990 2.5154
As 2.2990 0.0000 2.5154
Ru 0.0000 0.0000 2.5154
O 2.2990 2.2990 0.0000
```

Summary:
The total DFT energy (no corrections) is -5.1087 eV/atom. For the density of states at the Fermi level, the calculation gives 0.6313 states/eV/atom. Its symmetry is P4/mmm.

---

The following is a GGA+U calculation of a geometry-optimized FeAsSeO2 structure, from the Alexandria database.

Geometry as extended XYZ:
```
5
Lattice="3.7552 0.0000 0.0000 0.0000 3.7552 0.0000 0.0000 0.0000 5.9976" Properties=species:S:1:pos:R:3 pbc="T T T"
Fe 0.0000 0.0000 0.0000
As 1.8776 1.8776 2.9988
Se 0.0000 0.0000 2.9988
O 0.0000 1.8776 0.0000
O 1.8776 0.0000 0.0000
```

Summary:
The total DFT energy (no corrections) is -4.9421 eV/atom. For the density of states at the Fermi level, the calculation gives 0.3505 states/eV/atom. Its symmetry is P4/mmm.

---

The following is a GGA+U calculation of a geometry-optimized SmFeAsO structure, from the Alexandria database.

Geometry as extended XYZ:
```
8
Lattice="4.0245 0.0000 0.0000 0.0000 4.0245 0.0000 0.0000 0.0000 9.1919" Properties=species:S:1:pos:R:3 pbc="T T T"
Sm 1.0061 1.0061 1.1458
Sm 3.0184 3.0184 8.0461
Fe 1.0061 3.0184 4.5959
Fe 3.0184 1.0061 4.5959
As 1.0061 1.0061 6.2598
As 3.0184 3.0184 2.9320
O 1.0061 3.0184 0.0000
O 3.0184 1.0061 0.0000
```

Summary:
The total DFT energy (no corrections) is -6.6147 eV/atom. For the density of states at the Fermi level, the calculation gives 0.1166 states/eV/atom. Its symmetry is P4/nmm.

---

The following is a GGA+U calculation of a geometry-optimized Sm2FeAs2O structure, from the Alexandria database.

Geometry as extended XYZ:
```
6
Lattice="3.2792 0.0000 0.0000 0.0000 3.2792 0.0000 0.0000 0.0000 15.0997" Properties=species:S:1:pos:R:3 pbc="T T T"
Sm 0.0000 0.0000 2.0745
Sm 0.0000 0.0000 13.0252
Fe 0.0000 0.0000 7.5499
As 0.0000 0.0000 5.0850
As 0.0000 0.0000 10.0147
O 0.0000 0.0000 0.0000
```

Summary:
The total DFT energy (no corrections) is -5.0535 eV/atom. For the density of states at the Fermi level, the calculation gives 0.8842 states/eV/atom. Its symmetry is P4/mmm.

---

The following is a GGA+U calculation of a geometry-optimized Fe2SnAsO structure, from the Alexandria database.

Geometry as extended XYZ:
```
5
Lattice="4.2188 0.0000 0.0000 0.0000 4.2188 0.0000 0.0000 0.0000 5.0489" Properties=species:S:1:pos:R:3 pbc="T T T"
Fe 0.0000 2.1094 0.0000
Fe 2.1094 0.0000 0.0000
Sn 0.0000 0.0000 2.5245
As 2.1094 2.1094 2.5245
O 0.0000 0.0000 0.0000
```

Summary:
The total DFT energy (no corrections) is -5.0260 eV/atom. For the density of states at the Fermi level, the calculation gives 0.3996 states/eV/atom. Its symmetry is P4/mmm.

---

The following is a GGA+U calculation of a geometry-optimized Sr3FeAs2O8 structure, from the Alexandria database.

Geometry as extended XYZ:
```
14
Lattice="5.7476 0.0000 0.0000 -2.8738 4.9776 0.0000 0.0000 0.0000 7.3096" Properties=species:S:1:pos:R:3 pbc="T T T"
Sr 0.0000 0.0000 0.0000
Sr 0.0000 3.3184 4.6159
Sr 2.8738 1.6592 2.6937
Fe 0.0000 0.0000 3.6548
As 0.0000 3.3184 1.4626
As 2.8738 1.6592 5.8470
O 0.0000 1.6330 2.4023
O -1.4596 4.1611 2.4023
O 1.4142 0.8165 4.9073
O 0.0000 3.3184 6.9513
O 2.8738 1.6592 0.3583
O 1.4596 4.1611 2.4023
O 4.3334 0.8165 4.9073
O 2.8738 3.3446 4.9073
```

Summary:
The total DFT energy (no corrections) is -6.0873 eV/atom. For the density of states at the Fermi level, the calculation gives 0.0971 states/eV/atom. Its symmetry is P-3m1.

---

The following is a GGA+U calculation of a geometry-optimized SrFeAs2O8 structure, from the Alexandria database.

Geometry as extended XYZ:
```
12
Lattice="2.4715 1.4269 7.8157 -2.4715 1.4269 7.8157 0.0000 -2.8538 7.8157" Properties=species:S:1:pos:R:3 pbc="T T T"
Sr 0.0000 0.0000 0.0000
Fe 0.0000 0.0000 11.7236
As 0.0000 0.0000 5.7046
As 0.0000 0.0000 17.7427
O -0.8197 -1.3466 10.4205
O -0.7563 -1.3832 13.0267
O 0.0000 0.0000 7.4109
O -0.7563 1.3832 10.4205
O -0.8197 1.3466 13.0267
O 0.0000 0.0000 16.0363
O 1.5760 -0.0366 10.4205
O 1.5760 0.0366 13.0267
```

Summary:
The total DFT energy (no corrections) is -6.1137 eV/atom. For the density of states at the Fermi level, the calculation gives 0.5328 states/eV/atom. Its symmetry is R32.

---

The following is a GGA+U calculation of a geometry-optimized Sr2FeAs2O6 structure, from the Alexandria database.

Geometry as extended XYZ:
```
11
Lattice="4.3031 -2.9713 0.0000 4.3031 2.9713 0.0000 -2.4592 0.0000 6.4107" Properties=species:S:1:pos:R:3 pbc="T T T"
Sr 1.4226 0.0000 0.9710
Sr 4.7244 0.0000 5.4397
Fe -1.2296 0.0000 3.2053
As 1.5469 0.0000 4.9246
As 4.6001 0.0000 1.4861
O 3.4549 1.4317 1.4554
O 0.8369 0.0000 3.3173
O 2.6921 1.4317 4.9553
O 3.4549 -1.4317 1.4554
O 5.3100 0.0000 3.0934
O 2.6921 -1.4317 4.9553
```

Summary:
The total DFT energy (no corrections) is -6.2234 eV/atom. For the density of states at the Fermi level, the calculation gives 0.0000 states/eV/atom. Its symmetry is C2/m.